Record 1
Here is an optimized crystal structure of LiOs2Br from the Alexandria database. Energies are from PBE.

- Formation energy without anion corrections: 704 meV per atom
- Distance to the lowest polymorph of the same formula: 1.50 eV per formula unit
- Space group: No. 123

```
data_LiOs2Br
_cell_length_a 7.6618
_cell_length_b 3.4805
_cell_length_c 3.4805
_cell_angle_alpha 90.00
_cell_angle_beta 90.00
_cell_angle_gamma 90.00
_symmetry_space_group_name_H-M 'P 1'
_symmetry_Int_Tables_number 1
loop_
_symmetry_equiv_pos_as_xyz
'x,y,z'
loop_
_atom_site_label
_atom_site_fract_x
_atom_site_fract_y
_atom_site_fract_z
_atom_site_occupancy
Li1 0.5000 0.0000 0.5000 1
Br1 0.5000 0.5000 0.0000 1
Os1 0.0000 0.0000 0.0000 1
Os2 0.0000 0.5000 0.5000 1
```

***

Record 2
Here is an optimized crystal structure of Ho6TmCd2 from the Alexandria database. Energies are from PBE.

- Formation energy from the elements: -0.126 eV/atom
- Space group: No. 12

```
data_Ho6TmCd2
_cell_length_a 3.7163
_cell_length_b 6.5241
_cell_length_c 11.5531
_cell_angle_alpha 75.59
_cell_angle_beta 80.74
_cell_angle_gamma 73.45
_symmetry_space_group_name_H-M 'P 1'
_symmetry_Int_Tables_number 1
loop_
_symmetry_equiv_pos_as_xyz
'x,y,z'
loop_
_atom_site_label
_atom_site_fract_x
_atom_site_fract_y
_atom_site_fract_z
_atom_site_occupancy
Ho1 0.9848 0.6921 0.3383 1
Ho2 0.3130 0.7902 0.5838 1
Ho3 0.6870 0.2098 0.4162 1
Ho4 0.0152 0.3079 0.6617 1
Ho5 0.3152 0.4921 0.8775 1
Ho6 0.6848 0.5079 0.1225 1
Cd1 0.6458 0.9146 0.7938 1
Cd2 0.3542 0.0854 0.2062 1
Tm1 0.0000 0.0000 0.0000 1
```

***

Record 3
Here is an optimized crystal structure of BeZn2Ag2 from the Alexandria database. Energies are from PBE.

- Distance to the lowest polymorph of the same formula: 0.39 eV per formula unit
- Formation energy from the elements: 0.298 eV/atom
- Space group: No. 139

```
data_BeZn2Ag2
_cell_length_a 3.3857
_cell_length_b 3.3857
_cell_length_c 7.4321
_cell_angle_alpha 76.83
_cell_angle_beta 76.83
_cell_angle_gamma 90.00
_symmetry_space_group_name_H-M 'P 1'
_symmetry_Int_Tables_number 1
loop_
_symmetry_equiv_pos_as_xyz
'x,y,z'
loop_
_atom_site_label
_atom_site_fract_x
_atom_site_fract_y
_atom_site_fract_z
_atom_site_occupancy
Be1 0.0000 0.0000 0.0000 1
Zn1 0.2500 0.7500 0.5000 1
Zn2 0.7500 0.2500 0.5000 1
Ag1 0.4057 0.4057 0.1887 1
Ag2 0.5943 0.5943 0.8113 1
```

***

| no. | final energy (eV/atom) |
| --- | --- |
| 1 | -5.808 |
| 2 | -3.878 |
| 3 | -2.097 |